The following is a DFT calculation (PBE) of a relaxed PaAsH crystal.

abc: 4.5081 4.5081 4.5081
angles: 60.00 60.00 60.00
Last column: magnetic moment on the atom in μB.
Fractional positions:
As1 0.0000 0.0000 0.0000  -0.03
Pa1 0.2500 0.2500 0.2500  0.94
H1 0.5000 0.5000 0.5000  -0.01

Values from the calculation:
For the spin magnetization, the calculation gives 1.02 μB/f.u. The final energy is -6.064 eV per atom. Its density of states at the Fermi level is 6.919 states/eV per cell.

=====

The following is a DFT calculation (PBE) of a relaxed LaTlNiHg2 crystal.

abc: 5.1468 5.1468 5.0189
angles: 90.00 90.00 90.00
Fractional positions:
La1 0.0000 0.0000 0.5000
Hg1 0.5000 0.0000 0.0000
Tl1 0.5000 0.5000 0.5000
Hg2 0.0000 0.5000 0.0000
Ni1 0.0000 0.0000 0.0000

Values from the calculation:
For the spin magnetization, the calculation gives 0.00 μB/f.u. As for the formation energy from the elements: -1.1 eV per formula unit. Its density of states at the Fermi level is 3.843 states/eV per cell.

=====

The following is a DFT calculation (PBE) of a relaxed CaZrAu2 crystal.

abc: 7.5733 7.5733 6.4648
angles: 54.15 54.15 90.00
Fractional positions:
Au1 0.3750 0.3494 0.7500
Au2 0.6506 0.1250 0.2500
Zr1 0.0000 0.0000 0.0000
Ca1 0.2500 0.7500 0.5000
Au3 0.0994 0.6250 0.2500
Au4 0.8750 0.9006 0.7500
Zr2 0.7500 0.2500 0.5000
Ca2 0.5000 0.5000 0.0000

Values from the calculation:
For the spin magnetization, the calculation gives 0.00 μB/f.u. As for the formation energy from the elements: -0.7 eV per formula unit. Its density of states at the Fermi level is 9.933 states/eV per cell.

=====

The following is a DFT calculation (PBE) of a relaxed TcOs3W crystal.

abc: 5.2331 8.7173 5.1293
angles: 89.97 119.34 55.89
Fractional positions:
Tc1 0.9927 0.6508 0.7420
Os1 0.5127 0.7109 0.0020
Os2 0.8031 0.9593 0.3868
W1 0.3109 0.9614 0.4012
Os3 0.4728 0.5907 0.4819
Os4 0.1824 0.3423 0.0972
Os5 0.8031 0.9592 0.9078
Os6 0.1824 0.3423 0.5761
Tc2 0.9927 0.1508 0.7420
W2 0.6746 0.3402 0.0828

Values from the calculation:
For the spin magnetization, the calculation gives 0.00 μB/f.u. As for the formation energy from the elements: 2.2 eV per formula unit. Its density of states at the Fermi level is 7.400 states/eV per cell.

=====

The following is a DFT calculation (PBE) of a relaxed VAuSe3 crystal.

abc: 4.8067 4.8067 4.8067
angles: 90.00 90.00 90.00
Last column: magnetic moment on the atom in μB.
Fractional positions:
Au1 0.5000 0.5000 0.5000  0.01
V1 0.0000 0.0000 0.0000  0.24
Se1 0.0000 0.0000 0.5000  -0.04
Se2 0.5000 0.0000 0.0000  -0.04
Se3 0.0000 0.5000 0.0000  -0.04

Values from the calculation:
For the spin magnetization, the calculation gives 0.13 μB/f.u. The calculation puts the uncorrected formation energy at 0.21 eV per atom. Its density of states at the Fermi level is 5.917 states/eV per cell.

=====

The following is a DFT calculation (PBE) of a relaxed BaReBr3 crystal.

abc: 6.2647 6.2647 6.2647
angles: 90.00 90.00 90.00
Last column: magnetic moment on the atom in μB.
Fractional positions:
Ba1 0.0000 0.0000 0.0000  0.00
Br1 0.5000 0.0000 0.0000  0.06
Br2 0.0000 0.0000 0.5000  0.06
Re1 0.5000 0.5000 0.5000  4.57
Br3 0.0000 0.5000 0.0000  0.06

Values from the calculation:
For the spin magnetization, the calculation gives 6.07 μB/f.u. The calculation puts the uncorrected formation energy at 0.09 eV per atom.

=====

The following is a DFT calculation (PBE) of a relaxed Tb2Nd3Er7 crystal.

abc: 3.5621 5.8016 19.3278
angles: 104.35 90.00 90.00
Fractional positions:
Er1 0.0000 0.4527 0.1433
Tb1 0.5000 0.4187 0.7081
Tb2 0.5000 0.5813 0.2919
Er2 0.5000 0.7189 0.4618
Er3 0.5000 0.9812 0.1744
Nd1 0.5000 0.5000 0.0000
Er4 0.0000 0.0000 0.0000
Nd2 0.0000 0.8557 0.6328
Er5 0.0000 0.5473 0.8567
Nd3 0.0000 0.1443 0.3672
Er6 0.5000 0.2811 0.5382
Er7 0.5000 0.0188 0.8256

Values from the calculation:
For the spin magnetization, the calculation gives 0.00 μB/f.u. As for the formation energy from the elements: 1.0 eV per formula unit. Its density of states at the Fermi level is 14.027 states/eV per cell.

=====

The following is a DFT calculation (PBE) of a relaxed BaCd3Pt crystal.

abc: 6.0027 6.3239 7.4742
angles: 90.00 112.60 90.00
Fractional positions:
Cd1 0.7470 0.7077 0.4726
Pt1 0.1478 0.9476 0.7486
Pt2 0.8865 0.4476 0.8120
Cd2 0.2092 0.9476 0.3999
Ba1 0.7239 0.9476 0.9179
Cd3 0.2874 0.2078 0.0880
Cd4 0.2874 0.6875 0.0880
Cd5 0.8252 0.4476 0.1607
Cd6 0.7470 0.1875 0.4726
Ba2 0.3104 0.4476 0.6427

Values from the calculation:
For the spin magnetization, the calculation gives 0.00 μB/f.u. As for the formation energy from the elements: -2.0 eV per formula unit. Its density of states at the Fermi level is 4.470 states/eV per cell.

=====

The following is a DFT calculation (PBE) of a relaxed BeRuBr crystal.

abc: 3.0666 3.0666 5.4780
angles: 90.00 90.00 120.00
Fractional positions:
Ru1 0.3333 0.6667 0.6979
Br1 0.6667 0.3333 0.3199
Be1 0.0000 0.0000 0.9823

Values from the calculation:
For the spin magnetization, the calculation gives 0.00 μB/f.u. The calculation puts the uncorrected formation energy at 0.51 eV per atom. Its density of states at the Fermi level is 2.776 states/eV per cell.

=====

The following is a DFT calculation (PBE) of a relaxed GdPa2Ta crystal.

abc: 3.1074 3.1074 11.8161
angles: 82.44 82.44 60.00
Last column: magnetic moment on the atom in μB.
Fractional positions:
Pa1 0.9099 0.9099 0.2704  0.06
Gd1 0.0000 0.0000 0.0000  -7.12
Ta1 0.5000 0.5000 0.5000  0.01
Pa2 0.0901 0.0901 0.7296  0.06

Values from the calculation:
For the spin magnetization, the calculation gives 7.08 μB/f.u. As for the formation energy from the elements: 1.4 eV per formula unit. Its density of states at the Fermi level is 8.044 states/eV per cell.

=====

The following is a DFT calculation (PBE) of a relaxed NbBiPd2 crystal.

abc: 3.5382 3.5382 6.1122
angles: 90.00 90.00 90.00
Last column: magnetic moment on the atom in μB.
Fractional positions:
Pd1 0.0000 0.0000 0.7197  0.06
Pd2 0.0000 0.0000 0.2803  0.06
Bi1 0.5000 0.5000 0.0000  -0.01
Nb1 0.5000 0.5000 0.5000  0.34

Values from the calculation:
For the spin magnetization, the calculation gives 0.52 μB/f.u. As for the formation energy from the elements: -0.6 eV per formula unit. Its density of states at the Fermi level is 4.076 states/eV per cell.

=====

The following is a DFT calculation (PBE) of a relaxed Ca2AgTe crystal.

abc: 4.4682 4.4682 6.3093
angles: 90.00 90.00 90.00
Fractional positions:
Te1 0.0000 0.0000 0.3750
Ca1 0.5000 0.5000 0.3750
Ca2 0.0000 0.0000 0.8751
Ag1 0.5000 0.5000 0.8749

Values from the calculation:
For the spin magnetization, the calculation gives 0.00 μB/f.u. The calculation puts the uncorrected formation energy at -0.79 eV per atom. Its density of states at the Fermi level is 2.384 states/eV per cell.